[1]
Computed, not measured: a geometry-optimized BeIr3 structure at the PBE level of DFT.

a = 4.300 Å, b = 4.618 Å, c = 5.415 Å
α = 90.00°, β = 90.00°, γ = 90.00°
Sites, in units of the cell vectors:
Ir 0.000 0.164 0.253
Be 0.000 0.651 0.000
Ir 0.500 0.349 0.000
Be 0.500 0.349 0.500
Ir 0.000 0.164 0.747
Ir 0.500 0.836 0.247
Ir 0.500 0.836 0.753
Ir 0.000 0.651 0.500

Output
**Formation energy**: -0.05 eV/atom
**SG**: Pmmn (59)

---

[2]
Computed, not measured: a geometry-optimized ZnReP2 structure at the PBE level of DFT.

a = 3.032 Å, b = 3.809 Å, c = 4.975 Å
α = 90.00°, β = 90.00°, γ = 90.00°
Sites, in units of the cell vectors:
P 0.500 0.500 0.306
Zn 0.500 0.500 0.799
Re 0.000 0.000 0.440
P 0.000 0.000 0.955

Output
**Formation energy**: 0.23 eV/atom
**SG**: Pmm2 (25)

---

[3]
Computed, not measured: a geometry-optimized KCrSe2 structure at the PBE level of DFT.

a = 6.735 Å, b = 8.776 Å, c = 4.186 Å
α = 103.69°, β = 103.41°, γ = 70.07°
Sites, in units of the cell vectors:
Se 0.213 0.592 0.945
K 0.660 0.597 0.643
K 0.328 0.261 0.324
Cr 0.930 0.001 0.801
Cr 0.058 0.856 0.166
Se 0.256 0.965 0.655
Se 0.775 0.266 0.023
Se 0.732 0.892 0.312

Output
**E_form (uncorrected)**: -0.612 eV per atom
**SG**: P-1 (2)

---

[4]
Computed, not measured: a geometry-optimized AlAs2Br structure at the PBE level of DFT.

a = 3.584 Å, b = 3.584 Å, c = 9.305 Å
α = 90.00°, β = 90.00°, γ = 120.51°
Sites, in units of the cell vectors:
As 0.500 0.500 0.168
As 0.000 0.000 0.981
Br 0.000 0.000 0.577
Al 0.500 0.500 0.775

Output
**Excess energy over the best structure of this formula in the dataset**: 0.293 eV/atom
**E_form (uncorrected)**: 0.070 eV per atom
**SG**: Cmm2 (35)

---

[5]
Computed, not measured: a geometry-optimized LiYGe3 structure at the PBE level of DFT.

a = 5.432 Å, b = 5.432 Å, c = 5.432 Å
α = 90.00°, β = 90.00°, γ = 90.00°
Sites, in units of the cell vectors:
Ge 0.500 0.000 0.000
Ge 0.000 0.000 0.500
Li 0.500 0.500 0.500
Y 0.000 0.000 0.000
Ge 0.000 0.500 0.000

Output
**Excess energy over the best structure of this formula in the dataset**: 0.549 eV/atom
**Formation energy**: 0.49 eV/atom
**SG**: Pm-3m (221)